1.
# Ca12Zn6Pb (PBE, optimized geometry)
data_Ca12Zn6Pb
_chemical_formula_sum 'Ca24 Zn12 Pb2'
_symmetry_space_group_name_H-M 'I m -3'
_symmetry_Int_Tables_number 204
_symmetry_space_group_name_Hall '-I 2 2 3'
_cell_length_a 10.4907
_cell_length_b 10.4907
_cell_length_c 10.4907
_cell_angle_alpha 90.00
_cell_angle_beta 90.00
_cell_angle_gamma 90.00
loop_
_atom_site_label
_atom_site_type_symbol
_atom_site_fract_x
_atom_site_fract_y
_atom_site_fract_z
_atom_site_occupancy
Ca1 Ca 0.0000 0.1864 0.2908 1
Zn1 Zn 0.0000 0.3783 0.5000 1
Pb1 Pb 0.0000 0.0000 0.0000 1
# **Crystal system**: cubic
# **E_form**: -22.3 kJ/mol of atoms

---

2.
# CuHgCl2 (PBE, optimized geometry)
data_CuHgCl2
_chemical_formula_sum 'Cu4 Hg4 Cl8'
_symmetry_space_group_name_H-M 'I -4 2 d'
_symmetry_Int_Tables_number 122
_symmetry_space_group_name_Hall 'I -4 2bw'
_cell_length_a 7.1426
_cell_length_b 7.1426
_cell_length_c 8.1191
_cell_angle_alpha 90.00
_cell_angle_beta 90.00
_cell_angle_gamma 90.00
loop_
_atom_site_label
_atom_site_type_symbol
_atom_site_fract_x
_atom_site_fract_y
_atom_site_fract_z
_atom_site_occupancy
Cu1 Cu 0.0000 0.0000 0.0000 1
Hg1 Hg 0.0000 0.0000 0.5000 1
Cl1 Cl 0.1441 0.7500 0.1250 1
# **Crystal system**: tetragonal
# **Relative energy among the computed polymorphs**: 68 meV/atom
# **Raw formation energy**: -302.7 meV/atom

---

3.
# Sr3Re (PBE, optimized geometry)
data_Sr3Re
_chemical_formula_sum 'Sr3 Re1'
_symmetry_space_group_name_H-M 'P 4/m m m'
_symmetry_Int_Tables_number 123
_symmetry_space_group_name_Hall '-P 4 2'
_cell_length_a 3.6978
_cell_length_b 3.6978
_cell_length_c 10.8090
_cell_angle_alpha 90.00
_cell_angle_beta 90.00
_cell_angle_gamma 90.00
loop_
_atom_site_label
_atom_site_type_symbol
_atom_site_fract_x
_atom_site_fract_y
_atom_site_fract_z
_atom_site_occupancy
Sr1 Sr 0.0000 0.0000 0.0000 1
Sr2 Sr 0.5000 0.5000 0.3248 1
Re1 Re 0.0000 0.0000 0.5000 1
# **Crystal system**: tetragonal
# **Relative energy among the computed polymorphs**: 76 meV/atom
# **E_form**: 79.2 kJ/mol of atoms

---

4.
# Nd19Ho4Tm6 (PBE, optimized geometry)
data_Nd19Ho4Tm6
_chemical_formula_sum 'Nd38 Ho8 Tm12'
_symmetry_space_group_name_H-M 'I 2 3'
_symmetry_Int_Tables_number 197
_symmetry_space_group_name_Hall 'I 2 2 3'
_cell_length_a 12.6777
_cell_length_b 12.6777
_cell_length_c 12.6777
_cell_angle_alpha 90.00
_cell_angle_beta 90.00
_cell_angle_gamma 90.00
loop_
_atom_site_label
_atom_site_type_symbol
_atom_site_fract_x
_atom_site_fract_y
_atom_site_fract_z
_atom_site_occupancy
Nd1 Nd 0.0000 0.0000 0.0000 1
Nd2 Nd 0.0000 0.0000 0.2620 1
Nd3 Nd 0.0623 0.2803 0.7364 1
Ho1 Ho 0.1796 0.1796 0.1796 1
Tm1 Tm 0.0000 0.1248 0.5000 1
# **Crystal system**: cubic
# **E_form**: 35.4 kJ/mol of atoms

---

5.
# La3CePm2N6 (PBE, optimized geometry)
data_La3CePm2N6
_chemical_formula_sum 'La6 Ce2 Pm4 N12'
_symmetry_space_group_name_H-M 'C 1 2/m 1'
_symmetry_Int_Tables_number 12
_cell_length_a 6.3429
_cell_length_b 10.9805
_cell_length_c 6.3737
_cell_angle_alpha 90.00
_cell_angle_beta 109.39
_cell_angle_gamma 90.00
loop_
_symmetry_equiv_pos_as_xyz
'x,y,z'
'-x,-y,-z'
'-x,y,-z'
'x,-y,z'
'x+1/2,y+1/2,z'
'-x+1/2,-y+1/2,-z'
'-x+1/2,y+1/2,-z'
'x+1/2,-y+1/2,z'
loop_
_atom_site_label
_atom_site_type_symbol
_atom_site_fract_x
_atom_site_fract_y
_atom_site_fract_z
_atom_site_occupancy
La1 La 0.0000 0.0000 0.0000 1
La2 La 0.0000 0.3335 0.0000 1
Ce1 Ce 0.0000 0.5000 0.5000 1
Pm1 Pm 0.0000 0.1667 0.5000 1
N1 N 0.2394 0.3392 0.7363 1
N2 N 0.2427 0.5000 0.2618 1
# **Crystal system**: monoclinic
# **Raw formation energy**: -1403.0 meV/atom

---

6.
# Ca2YBr (PBE, optimized geometry)
data_Ca2YBr
_chemical_formula_sum 'Ca2 Y1 Br1'
_symmetry_space_group_name_H-M 'P 4 m m'
_symmetry_Int_Tables_number 99
_cell_length_a 3.6205
_cell_length_b 3.6205
_cell_length_c 10.0973
_cell_angle_alpha 90.00
_cell_angle_beta 90.00
_cell_angle_gamma 90.00
loop_
_symmetry_equiv_pos_as_xyz
'x,y,z'
'-y,x,z'
'-x,-y,z'
'y,-x,z'
'-x,y,z'
'y,x,z'
'x,-y,z'
'-y,-x,z'
loop_
_atom_site_label
_atom_site_type_symbol
_atom_site_fract_x
_atom_site_fract_y
_atom_site_fract_z
_atom_site_occupancy
Ca1 Ca 0.0000 0.0000 0.0000 1
Ca2 Ca 0.5000 0.5000 0.2923 1
Y1 Y 0.0000 0.0000 0.5613 1
Br1 Br 0.5000 0.5000 0.7673 1
# **Crystal system**: tetragonal
# **Relative energy among the computed polymorphs**: 204 meV/atom
# **Raw formation energy**: -436.6 meV/atom

---

7.
# Rb2PmTh2Te6 (PBE, optimized geometry)
data_Rb2PmTh2Te6
_chemical_formula_sum 'Rb4 Pm2 Th4 Te12'
_symmetry_space_group_name_H-M 'C 1 2/m 1'
_symmetry_Int_Tables_number 12
_cell_length_a 7.7968
_cell_length_b 13.5210
_cell_length_c 9.2428
_cell_angle_alpha 90.00
_cell_angle_beta 106.23
_cell_angle_gamma 90.00
loop_
_symmetry_equiv_pos_as_xyz
'x,y,z'
'-x,-y,-z'
'-x,y,-z'
'x,-y,z'
'x+1/2,y+1/2,z'
'-x+1/2,-y+1/2,-z'
'-x+1/2,y+1/2,-z'
'x+1/2,-y+1/2,z'
loop_
_atom_site_label
_atom_site_type_symbol
_atom_site_fract_x
_atom_site_fract_y
_atom_site_fract_z
_atom_site_occupancy
Rb1 Rb 0.0000 0.1657 0.0000 1
Pm1 Pm 0.0000 0.0000 0.5000 1
Th1 Th 0.0000 0.3330 0.5000 1
Te1 Te 0.2296 0.5000 0.7048 1
Te2 Te 0.2368 0.1671 0.7051 1
# **Crystal system**: monoclinic
# **Raw formation energy**: -1274.4 meV/atom

---

8.
# RbAc2TeO6 (PBE, optimized geometry)
data_RbAc2TeO6
_chemical_formula_sum 'Rb3 Ac6 Te3 O18'
_symmetry_space_group_name_H-M 'R 3'
_symmetry_Int_Tables_number 146
_symmetry_space_group_name_Hall 'R 3'
_cell_length_a 6.3341
_cell_length_b 6.3341
_cell_length_c 16.5730
_cell_angle_alpha 90.00
_cell_angle_beta 90.00
_cell_angle_gamma 120.00
loop_
_atom_site_label
_atom_site_type_symbol
_atom_site_fract_x
_atom_site_fract_y
_atom_site_fract_z
_atom_site_occupancy
Rb1 Rb 0.0000 0.0000 0.0000 1
Ac1 Ac 0.0000 0.0000 0.2278 1
Ac2 Ac 0.0000 0.0000 0.7453 1
Te1 Te 0.0000 0.0000 0.5399 1
O1 O 0.0330 0.3592 0.1430 1
O2 O 0.1092 0.7076 0.2855 1
# **Crystal system**: trigonal
# **Raw formation energy**: -2231.2 meV/atom

---

9.
# VP2SeS (PBE, optimized geometry)
data_VP2SeS
_chemical_formula_sum 'V1 P2 Se1 S1'
_symmetry_space_group_name_H-M 'P 4/m m m'
_symmetry_Int_Tables_number 123
_symmetry_space_group_name_Hall '-P 4 2'
_cell_length_a 4.6881
_cell_length_b 4.6881
_cell_length_c 4.3081
_cell_angle_alpha 90.00
_cell_angle_beta 90.00
_cell_angle_gamma 90.00
loop_
_atom_site_label
_atom_site_type_symbol
_atom_site_fract_x
_atom_site_fract_y
_atom_site_fract_z
_atom_site_occupancy
V1 V 0.0000 0.0000 0.0000 1
P1 P 0.0000 0.5000 0.0000 1
Se1 Se 0.5000 0.5000 0.5000 1
S1 S 0.0000 0.0000 0.5000 1
# **Crystal system**: tetragonal
# **Relative energy among the computed polymorphs**: 0 meV/atom
# **Raw formation energy**: 340.8 meV/atom

---

10.
# Rb2ZrHI6 (PBE, optimized geometry)
data_Rb2ZrHI6
_chemical_formula_sum 'Rb4 Zr2 H2 I12'
_symmetry_space_group_name_H-M 'I 4/m m m'
_symmetry_Int_Tables_number 139
_symmetry_space_group_name_Hall '-I 4 2'
_cell_length_a 9.0965
_cell_length_b 9.0965
_cell_length_c 10.0149
_cell_angle_alpha 90.00
_cell_angle_beta 90.00
_cell_angle_gamma 90.00
loop_
_atom_site_label
_atom_site_type_symbol
_atom_site_fract_x
_atom_site_fract_y
_atom_site_fract_z
_atom_site_occupancy
Rb1 Rb 0.0000 0.5000 0.2500 1
Zr1 Zr 0.0000 0.0000 0.0000 1
H1 H 0.0000 0.0000 0.5000 1
I1 I 0.0000 0.0000 0.2993 1
I2 I 0.2247 0.2247 0.0000 1
# **Crystal system**: tetragonal

---

11.
# Nd2PuReN6 (PBE, optimized geometry)
data_Nd2PuReN6
_chemical_formula_sum 'Nd4 Pu2 Re2 N12'
_symmetry_space_group_name_H-M 'P 1 21/c 1'
_symmetry_Int_Tables_number 14
_cell_length_a 5.7426
_cell_length_b 5.7757
_cell_length_c 9.8697
_cell_angle_alpha 90.00
_cell_angle_beta 124.99
_cell_angle_gamma 90.00
loop_
_symmetry_equiv_pos_as_xyz
'x,y,z'
'-x,-y,-z'
'-x,y+1/2,-z+1/2'
'x,-y+1/2,z+1/2'
loop_
_atom_site_label
_atom_site_type_symbol
_atom_site_fract_x
_atom_site_fract_y
_atom_site_fract_z
_atom_site_occupancy
Nd1 Nd 0.2387 0.0394 0.2487 1
Pu1 Pu 0.5000 0.0000 0.0000 1
Re1 Re 0.0000 0.0000 0.5000 1
N1 N 0.1647 0.2178 0.9543 1
N2 N 0.2261 0.7075 0.9538 1
N3 N 0.3269 0.0160 0.7420 1
# **Crystal system**: monoclinic
# **Raw formation energy**: -824.8 meV/atom

---

12.
# Tb2PuInC (PBE, optimized geometry)
data_Tb2PuInC
_chemical_formula_sum 'Tb2 Pu1 In1 C1'
_symmetry_space_group_name_H-M 'P 4/m m m'
_symmetry_Int_Tables_number 123
_symmetry_space_group_name_Hall '-P 4 2'
_cell_length_a 5.0091
_cell_length_b 5.0091
_cell_length_c 4.7135
_cell_angle_alpha 90.00
_cell_angle_beta 90.00
_cell_angle_gamma 90.00
loop_
_atom_site_label
_atom_site_type_symbol
_atom_site_fract_x
_atom_site_fract_y
_atom_site_fract_z
_atom_site_occupancy
Tb1 Tb 0.0000 0.5000 0.0000 1
Pu1 Pu 0.0000 0.0000 0.5000 1
In1 In 0.5000 0.5000 0.5000 1
C1 C 0.0000 0.0000 0.0000 1
# **Crystal system**: tetragonal
# **E_form**: -30.4 kJ/mol of atoms

---

Number 1: mass density 3.108 g/cm3, total DFT energy (no corrections) -39.8 eV/f.u.. Number 2: mass density 5.373 g/cm3, total DFT energy (no corrections) -9.3 eV/f.u.. Number 3: mass density 5.045 g/cm3, total DFT energy (no corrections) -14.2 eV/f.u.. Number 4: mass density 7.194 g/cm3, total DFT energy (no corrections) -125.1 eV/f.u.. Number 5: mass density 7.383 g/cm3, total DFT energy (no corrections) -97.0 eV/f.u.. Number 6: mass density 3.124 g/cm3, total DFT energy (no corrections) -13.9 eV/f.u.. Number 7: mass density 5.487 g/cm3, total DFT energy (no corrections) -54.4 eV/f.u.. Number 8: mass density 6.601 g/cm3, total DFT energy (no corrections) -64.4 eV/f.u.. Number 9: mass density 3.927 g/cm3, total DFT energy (no corrections) -25.8 eV/f.u.. Number 10: mass density 4.106 g/cm3, total DFT energy (no corrections) -31.6 eV/f.u.. Number 11: mass density 9.941 g/cm3, total DFT energy (no corrections) -94.5 eV/f.u.. Number 12: mass density 9.670 g/cm3, total DFT energy (no corrections) -37.1 eV/f.u..